Nd8Bi4Te3: optimized geometry, PBE-GGA.

Its crystal system is monoclinic. The calculation puts the total energy at -78.64 eV/f.u.

The structure belongs to space group C2/m (No. 12); the cell edges are 12.7915, 12.8051 and 9.0234 Å and the angles 90.00°, 134.78° and 90.00°. Symmetry generates all atoms from Nd at (0.0000, 0.2486, 0.0000), Nd at (0.0000, 0.2494, 0.5000), Nd at (0.2469, 0.0000, 0.0009), Nd at (0.2494, 0.5000, 0.4995), Bi at (0.0000, 0.0000, 0.5000), Bi at (0.0000, 0.5000, 0.0000), Bi at (0.2500, 0.2500, 0.0000), Te at (0.0000, 0.5000, 0.5000) and Te at (0.2500, 0.2500, 0.5000).

V2Rh4W: optimized geometry, PBE-GGA.

Its crystal system is tetragonal. For the formation energy, the calculation gives 36 kJ/mol of formula units. The offset from the most stable computed form comes out at 0.000 eV/f.u.

The structure belongs to space group P4_2/mnm (No. 136); the cell edges are 7.3325, 7.3325 and 3.9509 Å and the angles 90.00°, 90.00° and 90.00°. Symmetry generates all atoms from V at (0.2384, 0.2384, 0.0000), Rh at (0.0675, 0.6833, 0.0000) and W at (0.0000, 0.0000, 0.5000).

FeSe: optimized geometry, PBE-GGA.

Its crystal system is monoclinic. The calculation puts the total energy at -12.12 eV/f.u.

The structure belongs to space group Cm (No. 8); the cell edges are 11.5928, 3.2410 and 6.3299 Å and the angles 90.00°, 117.35° and 90.00°. Symmetry generates all atoms from Fe at (0.0000, 0.0000, 0.0000), Fe at (0.0285, 0.5000, 0.3782), Fe at (0.1382, 0.5000, 0.8946), Se at (0.1775, 0.0000, 0.3655), Se at (0.3372, 0.0000, 0.0072) and Se at (0.4798, 0.5000, 0.6050).

Ce5In4Pt2: optimized geometry, PBE-GGA.

Its crystal system is orthorhombic. For the formation energy, the calculation gives -733 kJ/mol of formula units.

The structure belongs to space group Pbam (No. 55); the cell edges are 8.0405, 18.6427 and 3.7659 Å and the angles 90.00°, 90.00° and 90.00°. Symmetry generates all atoms from Ce at (0.0000, 0.0000, 0.0000), Ce at (0.1442, 0.4210, 0.0000), Ce at (0.2381, 0.7224, 0.0000), In at (0.0526, 0.8504, 0.5000), In at (0.1990, 0.5709, 0.5000) and Pt at (0.0441, 0.3056, 0.5000).

KAg2Au: optimized geometry, PBE-GGA.

Its crystal system is orthorhombic. For the formation energy, the calculation gives 12 kJ/mol of formula units. The offset from the most stable computed form comes out at 0.539 eV/f.u.

The structure belongs to space group Pmm2 (No. 25); the cell edges are 2.9621, 4.2744 and 7.4427 Å and the angles 90.00°, 90.00° and 90.00°. Symmetry generates all atoms from K at (0.0000, 0.0000, 0.0000), Ag at (0.0000, 0.0000, 0.5075), Ag at (0.5000, 0.5000, 0.3222) and Au at (0.5000, 0.5000, 0.7043).

Sm2CuGe4Au3: optimized geometry, PBE-GGA.

Its crystal system is tetragonal. For the formation energy, the calculation gives -489 kJ/mol of formula units.

The structure belongs to space group P-4m2 (No. 115); the cell edges are 4.2417, 4.2417 and 11.2015 Å and the angles 90.00°, 90.00° and 90.00°. Symmetry generates all atoms from Sm at (0.0000, 0.5000, 0.2306), Cu at (0.5000, 0.5000, 0.0000), Ge at (0.0000, 0.0000, 0.5000), Ge at (0.0000, 0.5000, 0.8710), Ge at (0.5000, 0.5000, 0.5000), Au at (0.0000, 0.0000, 0.0000) and Au at (0.0000, 0.5000, 0.6473).

TaTc2P: optimized geometry, PBE-GGA.

Its crystal system is monoclinic. For the formation energy, the calculation gives -95 kJ/mol of formula units.

The structure belongs to space group Pm (No. 6); the cell edges are 2.9359, 4.3055 and 4.9052 Å and the angles 90.00°, 104.68° and 90.00°. Symmetry generates all atoms from Ta at (0.0000, 0.0000, 0.0000), Tc at (0.4253, 0.0000, 0.5138), Tc at (0.7945, 0.5000, 0.2890) and P at (0.4906, 0.5000, 0.7522).

Sm2Cd2Cu15: optimized geometry, PBE-GGA.

Its crystal system is trigonal. For the formation energy, the calculation gives -170 kJ/mol of formula units.

The structure belongs to space group R-3m (No. 166, hexagonal axes); the cell edges are 8.7856, 8.7856 and 12.7944 Å and the angles 90.00°, 90.00° and 120.00°. Symmetry generates all atoms from Sm at (0.0000, 0.0000, 0.1475), Cd at (0.0000, 0.0000, 0.3938), Cu at (0.0000, 0.3034, 0.5000), Cu at (0.0000, 0.5000, 0.0000) and Cu at (0.0063, 0.5031, 0.6542).

NbCoMo2C: optimized geometry, PBE-GGA.

Its crystal system is tetragonal. For the formation energy, the calculation gives 1453 kJ/mol of formula units.

The structure belongs to space group P4/mmm (No. 123); the cell edges are 4.7446, 4.7446 and 4.4300 Å and the angles 90.00°, 90.00° and 90.00°. Symmetry generates all atoms from Nb at (0.0000, 0.0000, 0.0000), Co at (0.0000, 0.0000, 0.5000), Mo at (0.0000, 0.5000, 0.0000) and C at (0.5000, 0.5000, 0.5000).

CaTiCu3: optimized geometry, PBE-GGA.

Its crystal system is cubic. For the formation energy, the calculation gives 254 kJ/mol of formula units. The offset from the most stable computed form comes out at 0.000 eV/f.u.

The structure belongs to space group Pm-3m (No. 221); the cell edges are 4.7317, 4.7317 and 4.7317 Å and the angles 90.00°, 90.00° and 90.00°. Symmetry generates all atoms from Ca at (0.0000, 0.0000, 0.0000), Ti at (0.5000, 0.5000, 0.5000) and Cu at (0.0000, 0.5000, 0.5000).

HoAlRu2C: optimized geometry, PBE-GGA.

Its crystal system is orthorhombic. For the formation energy, the calculation gives -202 kJ/mol of formula units.

The structure belongs to space group Cmcm (No. 63); the cell edges are 3.8790, 11.2194 and 7.2491 Å and the angles 90.00°, 90.00° and 90.00°. Symmetry generates all atoms from Ho at (0.0000, 0.0473, 0.2500), Al at (0.0000, 0.2297, 0.7500), Ru at (0.0000, 0.3375, 0.0554) and C at (0.0000, 0.5000, 0.0000).

NdZnSn3: optimized geometry, PBE-GGA.

Its crystal system is orthorhombic. For the formation energy, the calculation gives -173 kJ/mol of formula units.

The structure belongs to space group Pbcm (No. 57); the cell edges are 12.8015, 6.3206 and 6.2940 Å and the angles 90.00°, 90.00° and 90.00°. Symmetry generates all atoms from Nd at (0.1958, 0.0078, 0.2500), Zn at (0.3827, 0.2500, 0.0000), Sn at (0.9998, 0.2500, 0.0000), Sn at (0.2535, 0.5157, 0.2500) and Sn at (0.4393, 0.6507, 0.7500).

K2NbPt3O12: optimized geometry, PBE-GGA.

Its crystal system is trigonal. The calculation puts the total energy at -107.27 eV/f.u.

The structure belongs to space group R-3m (No. 166, hexagonal axes); the cell edges are 7.1985, 7.1985 and 18.3092 Å and the angles 90.00°, 90.00° and 120.00°. Symmetry generates all atoms from K at (0.0000, 0.0000, 0.1231), Nb at (0.0000, 0.0000, 0.5000), Pt at (0.0000, 0.5000, 0.0000), O at (0.0606, 0.5303, 0.3574) and O at (0.0701, 0.5351, 0.1050).

SiBi2SbAu6: optimized geometry, PBE-GGA.

Its crystal system is orthorhombic. The calculation puts the total energy at -36.44 eV/f.u.

The structure belongs to space group Pmmn (No. 59, origin choice 2); the cell edges are 5.8138, 8.6904 and 9.3619 Å and the angles 90.00°, 90.00° and 90.00°. Symmetry generates all atoms from Si at (0.2500, 0.2500, 0.2438), Bi at (0.2500, 0.0044, 0.7551), Sb at (0.2500, 0.7500, 0.3010), Au at (0.0016, 0.7500, 0.5520), Au at (0.0107, 0.7500, 0.9757) and Au at (0.2500, 0.5061, 0.1213).

TcCl: optimized geometry, PBE-GGA.

Its crystal system is cubic. The offset from the most stable computed form comes out at 2.757 eV/f.u.

The structure belongs to space group Pm-3n (No. 223); the cell edges are 6.5995, 6.5995 and 6.5995 Å and the angles 90.00°, 90.00° and 90.00°. Symmetry generates all atoms from Tc at (0.0000, 0.2500, 0.5000) and Cl at (0.0000, 0.5000, 0.2500).

Dy2US5: optimized geometry, PBE-GGA.

Its crystal system is orthorhombic. The offset from the most stable computed form comes out at 2.182 eV/f.u.

The structure belongs to space group Fmmm (No. 69); the cell edges are 5.3814, 8.9593 and 14.6571 Å and the angles 90.00°, 90.00° and 90.00°. Symmetry generates all atoms from Dy at (0.0000, 0.0000, 0.1798), U at (0.0000, 0.0000, 0.5000), S at (0.0000, 0.0000, 0.0000) and S at (0.0000, 0.1640, 0.3462).

LiBrCl3: optimized geometry, PBE-GGA.

Its crystal system is triclinic. The offset from the most stable computed form comes out at 0.000 eV/f.u.

The structure belongs to space group P1 (No. 1); the cell edges are 4.1197, 8.0509 and 9.2065 Å and the angles 107.66°, 90.35° and 102.86°. Symmetry generates all atoms from Li at (0.0000, 0.0000, 0.0000), Li at (0.3298, 0.6560, 0.1868), Br at (0.0536, 0.0339, 0.5393), Br at (0.3579, 0.4005, 0.7841), Cl at (0.1720, 0.3302, 0.0234), Cl at (0.3269, 0.1550, 0.3639), Cl at (0.4356, 0.8657, 0.0452), Cl at (0.5631, 0.5058, 0.5955), Cl at (0.7689, 0.9389, 0.7330) and Cl at (0.8444, 0.6825, 0.3289).

MnVCd3: optimized geometry, PBE-GGA.

Its crystal system is cubic. For the formation energy, the calculation gives 501 kJ/mol of formula units. The offset from the most stable computed form comes out at 0.000 eV/f.u.

The structure belongs to space group Pm-3m (No. 221); the cell edges are 5.0415, 5.0415 and 5.0415 Å and the angles 90.00°, 90.00° and 90.00°. Symmetry generates all atoms from Mn at (0.0000, 0.0000, 0.0000), V at (0.5000, 0.5000, 0.5000) and Cd at (0.0000, 0.0000, 0.5000).

Li2Nd3Ir7: optimized geometry, PBE-GGA.

Its crystal system is trigonal. For the formation energy, the calculation gives -602 kJ/mol of formula units.

The structure belongs to space group R-3m (No. 166, hexagonal axes); the cell edges are 5.4104, 5.4104 and 25.5137 Å and the angles 90.00°, 90.00° and 120.00°. Symmetry generates all atoms from Li at (0.0000, 0.0000, 0.1642), Nd at (0.0000, 0.0000, 0.3592), Nd at (0.0000, 0.0000, 0.5000), Ir at (0.0000, 0.0000, 0.0000) and Ir at (0.0055, 0.5027, 0.4176).

Tb3ZrN4: optimized geometry, PBE-GGA.

Its crystal system is cubic. The offset from the most stable computed form comes out at 0.391 eV/f.u.

The structure belongs to space group Pm-3m (No. 221); the cell edges are 4.8525, 4.8525 and 4.8525 Å and the angles 90.00°, 90.00° and 90.00°. Symmetry generates all atoms from Tb at (0.0000, 0.0000, 0.5000), Zr at (0.5000, 0.5000, 0.5000), N at (0.0000, 0.0000, 0.0000) and N at (0.0000, 0.5000, 0.5000).

Pm2P2Pd5: optimized geometry, PBE-GGA.

Its crystal system is tetragonal. For the formation energy, the calculation gives -792 kJ/mol of formula units.

The structure belongs to space group P4/mmm (No. 123); the cell edges are 4.1980, 4.1980 and 9.0497 Å and the angles 90.00°, 90.00° and 90.00°. Symmetry generates all atoms from Pm at (0.0000, 0.0000, 0.0000), Pm at (0.0000, 0.0000, 0.5000), P at (0.5000, 0.5000, 0.1281), Pd at (0.0000, 0.5000, 0.2625) and Pd at (0.5000, 0.5000, 0.5000).